No. 1
This record from the Alexandria database describes crystalline Zr4ReHg at its relaxed geometry. The functional is PBE-GGA.

abc: 4.7822 4.7927 7.8374
angles: 72.17 72.24 60.07
Fractional positions:
Re: 0.0000 0.0000 0.0000
Zr: 0.6344 0.6348 0.0963
Zr: 0.8822 0.8837 0.3520
Zr: 0.1178 0.1163 0.6480
Zr: 0.3656 0.3652 0.9037
Hg: 0.5000 0.5000 0.5000

Computed properties:
* space-group type: No. 12
* total DFT energy (no corrections): -7.673 eV per atom
* E_form: 0.15 eV/atom

No. 2
This record from the Alexandria database describes crystalline Al4Te at its relaxed geometry. The functional is PBE-GGA.

abc: 5.5659 5.5659 5.5659
angles: 109.47 109.47 109.47
Fractional positions:
Te: 0.0000 0.0000 0.0000
Al: 0.5000 0.0000 0.0000
Al: 0.0000 0.5000 0.0000
Al: 0.0000 0.0000 0.5000
Al: 0.5000 0.5000 0.5000

Computed properties:
* space-group type: No. 229
* total DFT energy (no corrections): -2.920 eV per atom
* energy relative to the elements, uncorrected: 339 kJ/mol of formula units

No. 3
This record from the Alexandria database describes crystalline Pm2Pr6SmY at its relaxed geometry. The functional is PBE-GGA.

abc: 9.9420 9.0570 9.0570
angles: 118.17 94.39 94.39
Fractional positions:
Pm: 0.5430 0.1971 0.2952
Pr: 0.4461 0.2466 0.8825
Pr: 0.5539 0.7534 0.1175
Pr: 0.3801 0.5042 0.2940
Pr: 0.6872 0.0142 0.5695
Pr: 0.8128 0.4305 0.9858
Sm: 0.7500 0.0218 0.9782
Y: 0.2500 0.4084 0.5916
Pm: 0.9570 0.7048 0.8029
Pr: 0.1872 0.5695 0.0142
Pm: 0.0430 0.2952 0.1971
Pm: 0.4570 0.8029 0.7048
Pr: 0.1199 0.7060 0.4958
Pr: 0.9461 0.8825 0.2466
Y: 0.7500 0.5916 0.4084
Pr: 0.8801 0.2940 0.5042
Sm: 0.2500 0.9782 0.0218
Pr: 0.0539 0.1175 0.7534
Pr: 0.3128 0.9858 0.4305
Pr: 0.6199 0.4958 0.7060

Computed properties:
* space-group type: No. 15
* total DFT energy (no corrections): -4.828 eV per atom
* E_form: 0.11 eV/atom

No. 4
This record from the Alexandria database describes crystalline Dy7PtS5 at its relaxed geometry. The functional is PBE-GGA.

abc: 3.8674 6.7233 23.5032
angles: 89.99 90.00 106.80
Fractional positions:
Dy: 0.1936 0.3877 0.3226
Dy: 0.8071 0.6137 0.8226
Dy: 0.4638 0.9270 0.2500
Dy: 0.9111 0.8217 0.1091
S: 0.0003 0.0007 0.0000
Pt: 0.8022 0.6044 0.2500
Dy: 0.3623 0.7254 0.9636
Dy: 0.9111 0.8217 0.3909
Dy: 0.6384 0.2760 0.0365
S: 0.2757 0.5507 0.0705
S: 0.4501 0.9010 0.8584
S: 0.5505 0.1004 0.1416
S: 0.5506 0.1004 0.3584
Dy: 0.6383 0.2758 0.4635
Dy: 0.1936 0.3876 0.1774
Pt: 0.1984 0.3968 0.7501
Dy: 0.8069 0.6133 0.6774
Dy: 0.5368 0.0742 0.7500
Dy: 0.0894 0.1792 0.6090
S: 0.7250 0.4507 0.9296
S: 0.2757 0.5505 0.4295
S: 0.7248 0.4504 0.5705
Dy: 0.0896 0.1797 0.8909
S: 0.0002 0.0004 0.5000
Dy: 0.3621 0.7250 0.5364
S: 0.4499 0.9005 0.6416

Computed properties:
* space-group type: No. 11
* total DFT energy (no corrections): -6.285 eV per atom
* energy relative to the elements, uncorrected: -2202 kJ/mol of formula units

No. 5
This record from the Alexandria database describes crystalline AcNdNi2Ge2 at its relaxed geometry. The functional is PBE-GGA.

abc: 4.1757 4.1757 8.6217
angles: 90.00 90.00 120.00
Fractional positions:
Nd: 0.0000 0.0000 0.5000
Ge: 0.6667 0.3333 0.7353
Ni: 0.3333 0.6667 0.7368
Ni: 0.6667 0.3333 0.2632
Ac: 0.0000 0.0000 0.0000
Ge: 0.3333 0.6667 0.2647

Computed properties:
* space-group type: No. 164
* total DFT energy (no corrections): -5.623 eV per atom
* E_form: -0.68 eV/atom

No. 6
This record from the Alexandria database describes crystalline La2AsHO at its relaxed geometry. The functional is PBE-GGA.

abc: 3.9157 3.9157 6.9510
angles: 106.36 106.36 90.00
Fractional positions:
O: 0.2500 0.7500 0.5000
As: 0.0000 0.0000 0.0000
La: 0.3600 0.3600 0.7199
H: 0.7500 0.2500 0.5000
La: 0.6400 0.6400 0.2801

Computed properties:
* space-group type: No. 119
* total DFT energy (no corrections): -6.480 eV per atom

No. 7
This record from the Alexandria database describes crystalline Cs5SbS4Br2 at its relaxed geometry. The functional is PBE-GGA.

abc: 8.5262 7.3884 10.6174
angles: 90.00 90.00 125.24
Fractional positions:
Cs: 0.7236 0.6140 0.7708
Br: 0.4037 0.4655 0.5000
S: 0.0695 0.6871 0.0000
Cs: 0.4409 0.0000 0.5000
Cs: 0.1096 0.3860 0.2292
Cs: 0.1096 0.3860 0.7708
S: 0.5556 0.0000 0.1817
S: 0.3825 0.3129 0.0000
Br: 0.9381 0.5345 0.5000
S: 0.5556 0.0000 0.8183
Cs: 0.7236 0.6140 0.2292
Sb: 0.3934 0.0000 0.0000

Computed properties:
* space-group type: No. 38
* total DFT energy (no corrections): -3.529 eV per atom
* energy relative to the elements, uncorrected: -1361 kJ/mol of formula units

No. 8
This record from the Alexandria database describes crystalline Ta2NiP2 at its relaxed geometry. The functional is PBE-GGA.

abc: 6.5887 6.5887 3.3285
angles: 90.00 90.00 90.00
Fractional positions:
Ta: 0.3468 0.1532 0.5000
P: 0.6479 0.1479 0.0000
P: 0.3521 0.8521 0.0000
Ta: 0.6532 0.8468 0.5000
Ta: 0.8468 0.3468 0.5000
P: 0.1479 0.3521 0.0000
Ta: 0.1532 0.6532 0.5000
P: 0.8521 0.6479 0.0000
Ni: 0.5000 0.5000 0.0000
Ni: 0.0000 0.0000 0.0000

Computed properties:
* space-group type: No. 127
* total DFT energy (no corrections): -8.565 eV per atom
* E_form: -0.50 eV/atom

No. 9
This record from the Alexandria database describes crystalline ZnTc2Mo at its relaxed geometry. The functional is PBE-GGA.

abc: 4.0706 2.7419 5.9866
angles: 61.88 90.00 90.00
Fractional positions:
Mo: 0.5000 0.7427 0.7513
Tc: 0.0000 0.9994 0.0049
Zn: 0.0000 0.5010 0.4990
Tc: 0.5000 0.2569 0.2448

Computed properties:
* space-group type: No. 6
* total DFT energy (no corrections): -8.112 eV per atom
* E_form: 0.10 eV/atom

No. 10
This record from the Alexandria database describes crystalline Y3TiC at its relaxed geometry. The functional is PBE-GGA.

abc: 5.2006 5.2006 5.2006
angles: 90.00 90.00 90.00
Fractional positions:
C: 0.5000 0.5000 0.5000
Ti: 0.0000 0.0000 0.0000
Y: 0.0000 0.0000 0.5000
Y: 0.5000 0.0000 0.0000
Y: 0.0000 0.5000 0.0000

Computed properties:
* space-group type: No. 221
* total DFT energy (no corrections): -5.584 eV per atom
* E_form: 1.72 eV/atom

No. 11
This record from the Alexandria database describes crystalline VCo3H at its relaxed geometry. The functional is PBE-GGA.

abc: 4.4666 5.0498 4.0749
angles: 90.00 90.57 90.00
Fractional positions:
Co: 0.6196 0.4029 0.8736
Co: 0.4555 0.6513 0.3804
Co: 0.9610 0.3997 0.3823
H: 0.7856 0.6513 0.1396
V: 0.4400 0.1513 0.3898
Co: 0.6196 0.8997 0.8736
V: 0.1406 0.6513 0.8661
H: 0.7949 0.1513 0.1164
Co: 0.1251 0.1513 0.8756
Co: 0.9610 0.9029 0.3823

Computed properties:
* space-group type: No. 11
* total DFT energy (no corrections): -6.901 eV per atom

No. 12
This record from the Alexandria database describes crystalline YSbCI2 at its relaxed geometry. The functional is PBE-GGA.

abc: 5.9292 5.9292 6.1969
angles: 90.00 90.00 90.00
Fractional positions:
I: 0.5000 0.0000 0.0000
Sb: 0.0000 0.0000 0.5000
C: 0.5000 0.5000 0.5000
Y: 0.0000 0.0000 0.0000
I: 0.0000 0.5000 0.0000

Computed properties:
* space-group type: No. 123
* total DFT energy (no corrections): -3.512 eV per atom
* energy relative to the elements, uncorrected: 516 kJ/mol of formula units

No. 13
This record from the Alexandria database describes crystalline FeNi3H2 at its relaxed geometry. The functional is PBE-GGA.

abc: 2.5633 4.9334 8.0419
angles: 83.42 80.83 74.94
Fractional positions:
H: 0.7389 0.8941 0.6281
Ni: 0.6201 0.2392 0.5206
Fe: 0.1172 0.4908 0.2747
H: 0.2420 0.6328 0.8832
Ni: 0.1219 0.9831 0.7731
Ni: 0.6213 0.7341 0.0233
Ni: 0.3799 0.7608 0.4794
Fe: 0.8828 0.5092 0.7253
Ni: 0.3787 0.2659 0.9767
H: 0.2611 0.1059 0.3719
H: 0.7580 0.3672 0.1168
Ni: 0.8781 0.0169 0.2269

Computed properties:
* space-group type: No. 12
* total DFT energy (no corrections): -5.454 eV per atom

No. 14
This record from the Alexandria database describes crystalline MgCl3F at its relaxed geometry. The functional is PBE-GGA.

abc: 4.6847 4.6847 4.6847
angles: 90.00 90.00 90.00
Fractional positions:
Cl: 0.5000 0.0000 0.0000
Mg: 0.5000 0.5000 0.5000
F: 0.0000 0.0000 0.0000
Cl: 0.0000 0.5000 0.0000
Cl: 0.0000 0.0000 0.5000

Computed properties:
* space-group type: No. 221
* total DFT energy (no corrections): -2.022 eV per atom
* energy relative to the elements, uncorrected: -107 kJ/mol of formula units

No. 15
This record from the Alexandria database describes crystalline TlZn2Re at its relaxed geometry. The functional is PBE-GGA.

abc: 4.5950 4.5950 4.5950
angles: 60.00 60.00 60.00
Fractional positions:
Re: 0.5000 0.5000 0.5000
Zn: 0.0000 0.0000 0.0000
Tl: 0.7500 0.7500 0.7500
Zn: 0.2500 0.2500 0.2500

Computed properties:
* space-group type: No. 216
* total DFT energy (no corrections): -3.497 eV per atom
* E_form: 0.84 eV/atom

No. 16
This record from the Alexandria database describes crystalline Pm4Pr3Zn at its relaxed geometry. The functional is PBE-GGA.

abc: 3.6798 3.6798 19.3070
angles: 90.00 90.00 90.00
Fractional positions:
Pm: 0.0000 0.0000 0.0934
Pr: 0.5000 0.5000 0.7703
Pm: 0.0000 0.0000 0.6354
Zn: 0.5000 0.5000 0.0000
Pm: 0.0000 0.0000 0.9066
Pr: 0.5000 0.5000 0.5000
Pm: 0.0000 0.0000 0.3646
Pr: 0.5000 0.5000 0.2297

Computed properties:
* space-group type: No. 123
* total DFT energy (no corrections): -4.397 eV per atom
* E_form: -0.07 eV/atom

No. 17
This record from the Alexandria database describes crystalline Na2VGaB at its relaxed geometry. The functional is PBE-GGA.

abc: 5.5238 4.9429 5.5238
angles: 90.00 90.00 90.00
Fractional positions:
V: 0.0000 0.0000 0.0000
B: 0.5000 0.5000 0.5000
Ga: 0.0000 0.5000 0.0000
Na: 0.0000 0.0000 0.5000
Na: 0.5000 0.0000 0.0000

Computed properties:
* space-group type: No. 123
* total DFT energy (no corrections): -2.599 eV per atom
* E_form: 1.69 eV/atom

No. 18
This record from the Alexandria database describes crystalline B2AsPd8 at its relaxed geometry. The functional is PBE-GGA.

abc: 4.2219 5.5959 7.4577
angles: 113.67 106.44 90.00
Fractional positions:
B: 0.1576 0.6653 0.3152
Pd: 0.9606 0.2098 0.9212
Pd: 0.5988 0.5028 0.1977
Pd: 0.8111 0.6575 0.6221
As: 0.5000 0.0000 0.0000
Pd: 0.6933 0.0362 0.3866
Pd: 0.1889 0.3425 0.3779
B: 0.8424 0.3347 0.6848
Pd: 0.3067 0.9638 0.6134
Pd: 0.0394 0.7902 0.0788
Pd: 0.4012 0.4972 0.8023

Computed properties:
* space-group type: No. 12
* total DFT energy (no corrections): -5.619 eV per atom
* E_form: -0.21 eV/atom

No. 19
This record from the Alexandria database describes crystalline MnBiBr5 at its relaxed geometry. The functional is PBE-GGA.

abc: 7.6172 7.6172 10.9318
angles: 111.57 111.57 88.37
Fractional positions:
Bi: 0.5000 0.0000 0.5000
Bi: 0.5000 0.0000 0.0000
Br: 0.8048 0.7741 0.4667
Br: 0.4093 0.0904 0.2499
Br: 0.7260 0.6952 0.0334
Mn: 0.8797 0.6203 0.2500
Br: 0.5907 0.9096 0.7501
Br: 0.1952 0.2259 0.5333
Br: 0.7633 0.3459 0.6688
Br: 0.1542 0.7366 0.8310
Br: 0.2740 0.3048 0.9666
Br: 0.8458 0.2634 0.1690
Br: 0.2367 0.6541 0.3312
Mn: 0.1203 0.3797 0.7500

Computed properties:
* space-group type: No. 15
* total DFT energy (no corrections): -3.768 eV per atom
* energy relative to the elements, uncorrected: -479 kJ/mol of formula units

No. 20
This record from the Alexandria database describes crystalline NdNiH at its relaxed geometry. The functional is PBE-GGA.

abc: 3.8301 3.8301 4.4573
angles: 115.44 115.44 90.00
Fractional positions:
Nd: 0.6382 0.6382 0.2764
H: 0.9963 0.9963 0.9927
Ni: 0.2155 0.2155 0.4309

Computed properties:
* space-group type: No. 107
* total DFT energy (no corrections): -4.729 eV per atom

No. 21
This record from the Alexandria database describes crystalline Hf2ReTcH at its relaxed geometry. The functional is PBE-GGA.

abc: 4.6443 4.6443 3.3859
angles: 90.00 90.00 90.00
Fractional positions:
H: 0.0000 0.0000 0.0000
Tc: 0.0000 0.0000 0.5000
Hf: 0.5000 0.0000 0.0000
Re: 0.5000 0.5000 0.5000
Hf: 0.0000 0.5000 0.0000

Computed properties:
* space-group type: No. 123
* total DFT energy (no corrections): -9.554 eV per atom

No. 22
This record from the Alexandria database describes crystalline KCr2P at its relaxed geometry. The functional is PBE-GGA.

abc: 4.1890 4.1890 6.6606
angles: 71.23 71.23 59.98
Fractional positions:
Cr: 0.9971 0.9971 0.0042
P: 0.3254 0.3254 0.0189
Cr: 0.6738 0.6738 0.9745
K: 0.5036 0.5036 0.5024

Computed properties:
* space-group type: No. 8
* total DFT energy (no corrections): -6.395 eV per atom
* E_form: 0.04 eV/atom

No. 23
This record from the Alexandria database describes crystalline Ba2Pd4Pb3Au at its relaxed geometry. The functional is PBE-GGA.

abc: 4.8690 4.8690 10.9807
angles: 90.00 90.00 90.00
Fractional positions:
Pb: 0.0000 0.5000 0.1185
Pb: 0.0000 0.0000 0.5000
Pd: 0.0000 0.5000 0.3703
Au: 0.5000 0.5000 0.5000
Pd: 0.5000 0.5000 0.0000
Ba: 0.0000 0.5000 0.7452
Pd: 0.5000 0.0000 0.6297
Pd: 0.0000 0.0000 0.0000
Ba: 0.5000 0.0000 0.2548
Pb: 0.5000 0.0000 0.8815

Computed properties:
* space-group type: No. 115
* total DFT energy (no corrections): -4.393 eV per atom
* E_form: -0.49 eV/atom

No. 24
This record from the Alexandria database describes crystalline HfTcGeCl2 at its relaxed geometry. The functional is PBE-GGA.

abc: 4.7382 5.2108 4.7382
angles: 90.00 90.00 90.00
Fractional positions:
Cl: 0.5000 0.0000 0.0000
Tc: 0.0000 0.5000 0.0000
Hf: 0.5000 0.5000 0.5000
Cl: 0.0000 0.0000 0.5000
Ge: 0.0000 0.0000 0.0000

Computed properties:
* space-group type: No. 123
* total DFT energy (no corrections): -4.791 eV per atom
* energy relative to the elements, uncorrected: 451 kJ/mol of formula units